[1]
## La4PdN2 (PBE)

Data for La4PdN2 after structural relaxation.

- DOS at the Fermi energy: 3.77 states/eV/cell
- Density: 5.84 g/cm3
- Energy relative to the elements, uncorrected: -9.03 kcal/mol of atoms
- Energy: -44.29 eV per cell
- ΔE to the lowest computed polymorph: 551 meV/atom

Lattice parameters (Å, degrees): 7.6600 7.6600 7.6600 138.40 138.40 60.30
Closest atoms and distances in Å follow each position.
Fractional coordinates of all 7 atoms:
La 0.0000 0.5000 0.5000  2 Pd 2.72, 4 N 2.98
La 0.2444 0.2444 0.0000  1 N 2.02
La 0.5000 0.0000 0.5000  2 Pd 2.72, 4 N 2.98
La 0.7556 0.7556 0.0000  1 N 2.02
Pd 0.5000 0.5000 0.0000  4 La 2.72
N 0.0923 0.0923 0.0000  1 La 2.02
N 0.9077 0.9077 0.0000  1 La 2.02



[2]
## Be4VIr5 (PBE)

Data for Be4VIr5 after structural relaxation.

- Formation energy from the elements: -568 meV per atom
- DOS at the Fermi energy: 6.86 states/eV/cell
- Density: 14.96 g/cm3
- Energy: -74.01 eV per cell

Lattice parameters (Å, degrees): 2.8308 2.8308 14.5133 90.00 90.00 90.00
Closest atoms and distances in Å follow each position.
Fractional coordinates of all 10 atoms:
Be 0.0000 0.0000 0.0964  8 Ir 2.44, 1 Be 2.73
Be 0.0000 0.0000 0.2843  8 Ir 2.40-2.49
Be 0.0000 0.0000 0.7157  8 Ir 2.40-2.49
Be 0.0000 0.0000 0.9036  8 Ir 2.44, 1 Be 2.73
V 0.0000 0.0000 0.5000  8 Ir 2.60, 4 V 2.83
Ir 0.5000 0.5000 0.0000  8 Be 2.44
Ir 0.5000 0.5000 0.1926  8 Be 2.40-2.44
Ir 0.5000 0.5000 0.3859  4 Be 2.49, 4 V 2.60
Ir 0.5000 0.5000 0.6141  4 Be 2.49, 4 V 2.60
Ir 0.5000 0.5000 0.8074  8 Be 2.40-2.44



[3]
## YEr2ScIn4 (PBE)

Data for YEr2ScIn4 after structural relaxation.

- Formation energy from the elements: -438 meV per atom
- DOS at the Fermi energy: 4.47 states/eV/cell
- Density: 7.60 g/cm3
- Energy: -36.38 eV per cell

Lattice parameters (Å, degrees): 9.0861 9.0861 9.0861 33.43 33.43 33.43
Closest atoms and distances in Å follow each position.
Fractional coordinates of all 8 atoms:
Y 0.0000 0.0000 0.0000  8 In 3.22-3.26
Er 0.2492 0.2492 0.2492  8 In 3.15-3.29
Er 0.7508 0.7508 0.7508  8 In 3.15-3.29
Sc 0.5000 0.5000 0.5000  8 In 3.16-3.19
In 0.1268 0.1268 0.1268  4 Er 3.15-3.21, 3 Sc 3.19, 1 Y 3.26
In 0.3770 0.3770 0.3770  1 Sc 3.16, 4 Er 3.19-3.29, 3 Y 3.22
In 0.6230 0.6230 0.6230  1 Sc 3.16, 4 Er 3.19-3.29, 3 Y 3.22
In 0.8732 0.8732 0.8732  4 Er 3.15-3.21, 3 Sc 3.19, 1 Y 3.26



[4]
## Ba2YRhW (PBE)

Data for Ba2YRhW after structural relaxation.

- Formation energy from the elements: 1576 meV per atom
- DOS at the Fermi energy: 5.63 states/eV/cell
- Density: 5.24 g/cm3
- Energy: -22.74 eV per cell

Lattice parameters (Å, degrees): 6.5477 6.5477 4.8089 90.00 90.00 90.00
Closest atoms and distances in Å follow each position.
Fractional coordinates of all 5 atoms:
Ba 0.0000 0.5000 0.0000  2 Y 3.27
Ba 0.5000 0.0000 0.0000  2 Y 3.27
Y 0.0000 0.0000 0.0000  2 Rh 2.40
Rh 0.0000 0.0000 0.5000  2 Y 2.40
W 0.5000 0.5000 0.5000  8 Ba 4.06